DFT (SCAN) results for Y5Rh at its PBEsol-relaxed geometry. Values from VASP.

Summary:
Magnetic moment: 0.35 μB/f.u.
Crystal system: monoclinic
ΔH_f (0 K): -312 meV/atom
Total energy: -174.859 eV per cell

```
&SYSTEM
  ibrav = 0, nat = 6, ntyp = 2
/
ATOMIC_SPECIES
Y 88.91 Y.upf
Rh 102.91 Rh.upf
ATOMIC_POSITIONS crystal
Y 0.130 0.261 0.375
Y 0.830 0.661 0.202
Y 0.500 0.000 0.000
Y 0.170 0.339 0.798
Y 0.870 0.739 0.625
Rh 0.500 0.000 0.500
CELL_PARAMETERS angstrom
3.592 0.000 0.000
-1.796 5.904 0.018
0.000 -2.871 7.648
```



DFT (SCAN) results for YRh3 at its PBEsol-relaxed geometry. Values from VASP.

Summary:
Magnetic moment: 0.00 μB/f.u.
Crystal system: hexagonal
ΔH_f (0 K): -649 meV/atom
Total energy: -790.512 eV per cell

```
&SYSTEM
  ibrav = 0, nat = 24, ntyp = 2
/
ATOMIC_SPECIES
Rh 102.91 Rh.upf
Y 88.91 Y.upf
ATOMIC_POSITIONS crystal
Rh 0.666 0.833 0.874
Rh 0.167 0.334 0.874
Rh 0.167 0.833 0.874
Rh 0.334 0.167 0.374
Rh 0.833 0.666 0.374
Rh 0.833 0.167 0.374
Rh 0.833 0.666 0.126
Rh 0.334 0.167 0.126
Rh 0.833 0.167 0.126
Rh 0.167 0.334 0.626
Rh 0.666 0.833 0.626
Rh 0.167 0.833 0.626
Rh 0.333 0.667 0.750
Rh 0.667 0.333 0.250
Rh 0.000 0.000 0.750
Rh 0.000 0.000 0.250
Rh 0.000 0.000 0.000
Rh 0.000 0.000 0.500
Y 0.333 0.667 0.458
Y 0.667 0.333 0.958
Y 0.667 0.333 0.542
Y 0.333 0.667 0.042
Y 0.333 0.667 0.250
Y 0.667 0.333 0.750
CELL_PARAMETERS angstrom
5.186 0.000 0.000
-2.593 4.491 0.000
0.000 0.000 17.208
```



DFT (SCAN) results for YRh5 at its PBEsol-relaxed geometry. Values from VASP.

Summary:
Magnetic moment: 0.00 μB/f.u.
Crystal system: hexagonal
ΔH_f (0 K): -342 meV/atom
Total energy: -198.751 eV per cell

```
&SYSTEM
  ibrav = 0, nat = 6, ntyp = 2
/
ATOMIC_SPECIES
Y 88.91 Y.upf
Rh 102.91 Rh.upf
ATOMIC_POSITIONS crystal
Y 0.000 0.000 0.000
Rh 0.000 0.333 0.667
Rh 0.000 0.667 0.333
Rh 0.500 0.000 0.500
Rh 0.500 0.500 0.000
Rh 0.500 0.500 0.500
CELL_PARAMETERS angstrom
4.263 0.000 0.000
0.000 5.145 0.000
0.000 -2.573 4.456
```



DFT (SCAN) results for YRh3 at its PBEsol-relaxed geometry. Values from VASP.

Summary:
Magnetic moment: 0.00 μB/f.u.
Crystal system: orthorhombic
ΔH_f (0 K): -385 meV/atom
Total energy: -130.696 eV per cell

```
&SYSTEM
  ibrav = 0, nat = 4, ntyp = 2
/
ATOMIC_SPECIES
Rh 102.91 Rh.upf
Y 88.91 Y.upf
ATOMIC_POSITIONS crystal
Rh 0.000 0.000 0.000
Rh 0.500 0.000 0.500
Rh 0.500 0.500 0.000
Y 0.000 0.500 0.500
CELL_PARAMETERS angstrom
2.944 0.000 0.000
0.000 4.716 -0.015
0.000 -1.315 4.529
```



DFT (SCAN) results for Y5Rh3 at its PBEsol-relaxed geometry. Values from VASP.

Summary:
Magnetic moment: 0.00 μB/f.u.
Crystal system: tetragonal
ΔH_f (0 K): -767 meV/atom
Total energy: -493.332 eV per cell

```
&SYSTEM
  ibrav = 0, nat = 16, ntyp = 2
/
ATOMIC_SPECIES
Rh 102.91 Rh.upf
Y 88.91 Y.upf
ATOMIC_POSITIONS crystal
Rh 0.657 0.185 0.500
Rh 0.250 0.000 0.000
Rh 0.157 0.500 0.185
Rh 0.843 0.500 0.815
Rh 0.750 0.000 0.000
Rh 0.343 0.815 0.500
Y 0.210 0.708 0.873
Y 0.917 0.873 0.292
Y 0.750 0.500 0.500
Y 0.417 0.292 0.873
Y 0.710 0.873 0.708
Y 0.290 0.127 0.292
Y 0.583 0.708 0.127
Y 0.250 0.500 0.500
Y 0.083 0.127 0.708
Y 0.790 0.292 0.127
CELL_PARAMETERS angstrom
-2.638 -1.679 -5.124
-5.589 -5.945 1.310
-6.760 4.507 -1.513
```



DFT (SCAN) results for Y5Rh at its PBEsol-relaxed geometry. Values from VASP.

Summary:
Magnetic moment: 0.00 μB/f.u.
Crystal system: cubic
ΔH_f (0 K): 509 meV/atom
Total energy: -169.934 eV per cell

```
&SYSTEM
  ibrav = 0, nat = 6, ntyp = 2
/
ATOMIC_SPECIES
Rh 102.91 Rh.upf
Y 88.91 Y.upf
ATOMIC_POSITIONS crystal
Rh 0.000 0.000 0.000
Y 0.374 0.374 0.374
Y 0.750 0.750 0.750
Y 0.877 0.374 0.374
Y 0.374 0.877 0.374
Y 0.374 0.374 0.877
CELL_PARAMETERS angstrom
-1.722 1.744 5.630
-3.643 -3.627 3.358
2.247 -2.889 4.930
```



DFT (SCAN) results for Y5Rh3 at its PBEsol-relaxed geometry. Values from VASP.

Summary:
Magnetic moment: 0.00 μB/f.u.
Crystal system: tetragonal
ΔH_f (0 K): -848 meV/atom
Total energy: -989.253 eV per cell

```
&SYSTEM
  ibrav = 0, nat = 32, ntyp = 2
/
ATOMIC_SPECIES
Rh 102.91 Rh.upf
Y 88.91 Y.upf
ATOMIC_POSITIONS crystal
Rh 0.373 0.500 0.000
Rh 0.127 0.000 0.500
Rh 0.627 0.000 0.500
Rh 0.873 0.500 0.000
Rh 0.250 0.654 0.346
Rh 0.250 0.346 0.654
Rh 0.250 0.154 0.154
Rh 0.250 0.846 0.846
Rh 0.750 0.846 0.154
Rh 0.750 0.154 0.846
Rh 0.750 0.346 0.346
Rh 0.750 0.654 0.654
Y 0.000 0.000 0.000
Y 0.000 0.500 0.500
Y 0.500 0.500 0.500
Y 0.500 0.000 0.000
Y 0.121 0.291 0.911
Y 0.121 0.709 0.089
Y 0.121 0.589 0.791
Y 0.121 0.411 0.209
Y 0.379 0.209 0.411
Y 0.379 0.791 0.589
Y 0.379 0.911 0.291
Y 0.379 0.089 0.709
Y 0.879 0.209 0.589
Y 0.879 0.791 0.411
Y 0.879 0.911 0.709
Y 0.879 0.089 0.291
Y 0.621 0.291 0.089
Y 0.621 0.709 0.911
Y 0.621 0.589 0.209
Y 0.621 0.411 0.791
CELL_PARAMETERS angstrom
-0.641 -0.993 6.135
10.714 -0.519 1.034
0.345 10.627 1.756
```



DFT (SCAN) results for YRh2 at its PBEsol-relaxed geometry. Values from VASP.

Summary:
Magnetic moment: 0.00 μB/f.u.
Crystal system: cubic
ΔH_f (0 K): -844 meV/atom
Total energy: -195.836 eV per cell

```
&SYSTEM
  ibrav = 0, nat = 6, ntyp = 2
/
ATOMIC_SPECIES
Y 88.91 Y.upf
Rh 102.91 Rh.upf
ATOMIC_POSITIONS crystal
Y 0.500 0.500 0.500
Y 0.750 0.750 0.750
Rh 0.125 0.125 0.125
Rh 0.625 0.125 0.125
Rh 0.125 0.625 0.125
Rh 0.125 0.125 0.625
CELL_PARAMETERS angstrom
5.257 0.000 0.000
2.629 4.553 0.000
2.629 1.518 4.293
```



DFT (SCAN) results for YZnRh at its PBEsol-relaxed geometry. Values from VASP.

Summary:
Magnetic moment: 0.00 μB/f.u.
Crystal system: orthorhombic
ΔH_f (0 K): -798 meV/atom
Total energy: -155.046 eV per cell

```
&SYSTEM
  ibrav = 0, nat = 6, ntyp = 3
/
ATOMIC_SPECIES
Y 88.91 Y.upf
Zn 65.41 Zn.upf
Rh 102.91 Rh.upf
ATOMIC_POSITIONS crystal
Y 0.791 0.582 0.250
Y 0.209 0.418 0.750
Zn 0.500 0.000 0.000
Zn 0.500 0.000 0.500
Rh 0.915 0.830 0.750
Rh 0.085 0.170 0.250
CELL_PARAMETERS angstrom
4.117 0.000 0.000
-2.059 4.837 0.000
0.000 0.000 5.471
```



DFT (SCAN) results for YZnRh3 at its PBEsol-relaxed geometry. Values from VASP.

Summary:
Magnetic moment: 1.17 μB/f.u.
Crystal system: cubic
ΔH_f (0 K): 1271 meV/atom
Total energy: -136.315 eV per cell

```
&SYSTEM
  ibrav = 0, nat = 5, ntyp = 3
/
ATOMIC_SPECIES
Y 88.91 Y.upf
Zn 65.41 Zn.upf
Rh 102.91 Rh.upf
ATOMIC_POSITIONS crystal
Y 0.000 0.000 0.000
Zn 0.500 0.500 0.500
Rh 0.000 0.500 0.000
Rh 0.000 0.000 0.500
Rh 0.500 0.000 0.000
CELL_PARAMETERS angstrom
-0.515 -4.044 2.439
3.217 -2.096 -2.797
3.457 1.348 2.966
```



DFT (SCAN) results for Y2ZnRh at its PBEsol-relaxed geometry. Values from VASP.

Summary:
Magnetic moment: 0.00 μB/f.u.
Crystal system: trigonal
ΔH_f (0 K): -504 meV/atom
Total energy: -104.987 eV per cell

```
&SYSTEM
  ibrav = 0, nat = 4, ntyp = 3
/
ATOMIC_SPECIES
Rh 102.91 Rh.upf
Y 88.91 Y.upf
Zn 65.41 Zn.upf
ATOMIC_POSITIONS crystal
Rh 0.500 0.500 0.500
Y 0.761 0.761 0.717
Y 0.239 0.239 0.283
Zn 0.000 0.000 0.000
CELL_PARAMETERS angstrom
-3.478 0.307 1.507
-0.507 -0.520 3.732
-0.178 7.203 2.917
```



DFT (SCAN) results for YZnRh at its PBEsol-relaxed geometry. Values from VASP.

Summary:
Magnetic moment: 0.00 μB/f.u.
Crystal system: orthorhombic
ΔH_f (0 K): -813 meV/atom
Total energy: -310.276 eV per cell

```
&SYSTEM
  ibrav = 0, nat = 12, ntyp = 3
/
ATOMIC_SPECIES
Y 88.91 Y.upf
Zn 65.41 Zn.upf
Rh 102.91 Rh.upf
ATOMIC_POSITIONS crystal
Y 0.750 0.463 0.185
Y 0.250 0.537 0.815
Y 0.250 0.037 0.685
Y 0.750 0.963 0.315
Zn 0.750 0.362 0.564
Zn 0.250 0.638 0.436
Zn 0.250 0.138 0.064
Zn 0.750 0.862 0.936
Rh 0.750 0.243 0.878
Rh 0.250 0.757 0.122
Rh 0.250 0.257 0.378
Rh 0.750 0.743 0.622
CELL_PARAMETERS angstrom
3.996 0.000 0.000
0.000 6.827 0.000
0.000 0.000 7.967
```



DFT (SCAN) results for Y2ZnRh at its PBEsol-relaxed geometry. Values from VASP.

Summary:
Magnetic moment: 0.00 μB/f.u.
Crystal system: tetragonal
ΔH_f (0 K): -719 meV/atom
Total energy: -105.849 eV per cell

```
&SYSTEM
  ibrav = 0, nat = 4, ntyp = 3
/
ATOMIC_SPECIES
Y 88.91 Y.upf
Zn 65.41 Zn.upf
Rh 102.91 Rh.upf
ATOMIC_POSITIONS crystal
Y 0.000 0.000 0.237
Y 0.000 0.000 0.763
Zn 0.500 0.500 0.500
Rh 0.500 0.500 0.000
CELL_PARAMETERS angstrom
-2.531 -1.197 -2.016
0.173 -3.054 1.596
-4.683 2.143 4.609
```



DFT (SCAN) results for YZnRh at its PBEsol-relaxed geometry. Values from VASP.

Summary:
Magnetic moment: 0.00 μB/f.u.
Crystal system: cubic
ΔH_f (0 K): 74 meV/atom
Total energy: -74.906 eV per cell

```
&SYSTEM
  ibrav = 0, nat = 3, ntyp = 3
/
ATOMIC_SPECIES
Rh 102.91 Rh.upf
Y 88.91 Y.upf
Zn 65.41 Zn.upf
ATOMIC_POSITIONS crystal
Rh 0.500 0.500 0.500
Y 0.250 0.250 0.250
Zn 0.000 0.000 0.000
CELL_PARAMETERS angstrom
4.518 0.000 0.000
2.259 3.913 0.000
2.259 1.304 3.689
```



DFT (SCAN) results for Y2ZnRh at its PBEsol-relaxed geometry. Values from VASP.

Summary:
Magnetic moment: 0.63 μB/f.u.
Crystal system: tetragonal
ΔH_f (0 K): -425 meV/atom
Total energy: -104.672 eV per cell

```
&SYSTEM
  ibrav = 0, nat = 4, ntyp = 3
/
ATOMIC_SPECIES
Rh 102.91 Rh.upf
Y 88.91 Y.upf
Zn 65.41 Zn.upf
ATOMIC_POSITIONS crystal
Rh 0.500 0.500 0.707
Y 0.000 0.000 0.932
Y 0.500 0.500 0.310
Zn 0.000 0.000 0.551
CELL_PARAMETERS angstrom
-0.283 -3.337 -0.299
1.704 -0.401 2.871
-6.458 0.201 3.861
```



DFT (SCAN) results for YZn3Rh at its PBEsol-relaxed geometry. Values from VASP.

Summary:
Magnetic moment: 0.00 μB/f.u.
Crystal system: cubic
ΔH_f (0 K): -218 meV/atom
Total energy: -103.252 eV per cell

```
&SYSTEM
  ibrav = 0, nat = 5, ntyp = 3
/
ATOMIC_SPECIES
Y 88.91 Y.upf
Zn 65.41 Zn.upf
Rh 102.91 Rh.upf
ATOMIC_POSITIONS crystal
Y 0.500 0.500 0.500
Zn 0.000 0.500 0.000
Zn 0.000 0.000 0.500
Zn 0.500 0.000 0.000
Rh 0.000 0.000 0.000
CELL_PARAMETERS angstrom
4.638 0.000 0.000
0.000 4.638 0.000
0.000 0.000 4.638
```



DFT (SCAN) results for Y2ZnRh at its PBEsol-relaxed geometry. Values from VASP.

Summary:
Magnetic moment: 0.00 μB/f.u.
Crystal system: orthorhombic
ΔH_f (0 K): -713 meV/atom
Total energy: -105.825 eV per cell

```
&SYSTEM
  ibrav = 0, nat = 4, ntyp = 3
/
ATOMIC_SPECIES
Y 88.91 Y.upf
Zn 65.41 Zn.upf
Rh 102.91 Rh.upf
ATOMIC_POSITIONS crystal
Y 0.110 0.000 0.221
Y 0.391 0.500 0.783
Zn 0.822 0.000 0.644
Rh 0.676 0.500 0.353
CELL_PARAMETERS angstrom
3.771 0.000 0.000
0.000 4.328 0.000
-1.885 0.000 5.233
```



DFT (SCAN) results for YZrRh4 at its PBEsol-relaxed geometry. Values from VASP.

Summary:
Magnetic moment: 0.00 μB/f.u.
Crystal system: cubic
ΔH_f (0 K): -761 meV/atom
Total energy: -198.193 eV per cell

```
&SYSTEM
  ibrav = 0, nat = 6, ntyp = 3
/
ATOMIC_SPECIES
Y 88.91 Y.upf
Rh 102.91 Rh.upf
Zr 91.22 Zr.upf
ATOMIC_POSITIONS crystal
Y 0.750 0.750 0.750
Rh 0.375 0.375 0.375
Rh 0.375 0.375 0.875
Rh 0.875 0.375 0.375
Rh 0.375 0.875 0.375
Zr 0.000 0.000 0.000
CELL_PARAMETERS angstrom
-3.560 -1.567 -3.447
0.648 -4.482 -2.550
-3.048 -4.068 1.080
```



DFT (SCAN) results for YZr2Rh at its PBEsol-relaxed geometry. Values from VASP.

Summary:
Magnetic moment: 0.00 μB/f.u.
Crystal system: orthorhombic
ΔH_f (0 K): -449 meV/atom
Total energy: -124.809 eV per cell

```
&SYSTEM
  ibrav = 0, nat = 4, ntyp = 3
/
ATOMIC_SPECIES
Y 88.91 Y.upf
Rh 102.91 Rh.upf
Zr 91.22 Zr.upf
ATOMIC_POSITIONS crystal
Y 0.000 0.500 0.000
Rh 0.500 0.000 0.000
Zr 0.783 0.783 0.566
Zr 0.217 0.217 0.434
CELL_PARAMETERS angstrom
3.361 0.000 0.000
0.000 4.950 0.000
-1.680 -2.475 5.052
```



DFT (SCAN) results for Y2ZrRh2 at its PBEsol-relaxed geometry. Values from VASP.

Summary:
Magnetic moment: 0.00 μB/f.u.
Crystal system: tetragonal
ΔH_f (0 K): -776 meV/atom
Total energy: -315.614 eV per cell

```
&SYSTEM
  ibrav = 0, nat = 10, ntyp = 3
/
ATOMIC_SPECIES
Y 88.91 Y.upf
Rh 102.91 Rh.upf
Zr 91.22 Zr.upf
ATOMIC_POSITIONS crystal
Y 0.500 0.169 0.669
Y 0.500 0.669 0.831
Y 0.500 0.831 0.331
Y 0.500 0.331 0.169
Rh 0.000 0.360 0.860
Rh 0.000 0.860 0.640
Rh 0.000 0.640 0.140
Rh 0.000 0.140 0.360
Zr 0.000 0.000 0.000
Zr 0.000 0.500 0.500
CELL_PARAMETERS angstrom
4.305 0.000 0.000
0.000 6.984 0.000
0.000 0.000 6.984
```



DFT (SCAN) results for YZrRh2 at its PBEsol-relaxed geometry. Values from VASP.

Summary:
Magnetic moment: 0.00 μB/f.u.
Crystal system: tetragonal
ΔH_f (0 K): -652 meV/atom
Total energy: -128.691 eV per cell

```
&SYSTEM
  ibrav = 0, nat = 4, ntyp = 3
/
ATOMIC_SPECIES
Rh 102.91 Rh.upf
Y 88.91 Y.upf
Zr 91.22 Zr.upf
ATOMIC_POSITIONS crystal
Rh 0.000 0.000 0.938
Rh 0.500 0.500 0.303
Y 0.000 0.000 0.434
Zr 0.500 0.500 0.825
CELL_PARAMETERS angstrom
3.702 0.000 0.000
0.000 3.702 0.000
0.000 0.000 5.667
```



DFT (SCAN) results for YZrRh at its PBEsol-relaxed geometry. Values from VASP.

Summary:
Magnetic moment: 0.00 μB/f.u.
Crystal system: cubic
ΔH_f (0 K): 137 meV/atom
Total energy: -91.902 eV per cell

```
&SYSTEM
  ibrav = 0, nat = 3, ntyp = 3
/
ATOMIC_SPECIES
Rh 102.91 Rh.upf
Y 88.91 Y.upf
Zr 91.22 Zr.upf
ATOMIC_POSITIONS crystal
Rh 0.000 0.000 0.000
Y 0.500 0.500 0.500
Zr 0.250 0.250 0.250
CELL_PARAMETERS angstrom
4.518 0.000 0.000
2.259 3.913 0.000
2.259 1.304 3.689
```



DFT (SCAN) results for YZrRh3 at its PBEsol-relaxed geometry. Values from VASP.

Summary:
Magnetic moment: 0.00 μB/f.u.
Crystal system: cubic
ΔH_f (0 K): 745 meV/atom
Total energy: -156.132 eV per cell

```
&SYSTEM
  ibrav = 0, nat = 5, ntyp = 3
/
ATOMIC_SPECIES
Y 88.91 Y.upf
Rh 102.91 Rh.upf
Zr 91.22 Zr.upf
ATOMIC_POSITIONS crystal
Y 0.000 0.000 0.000
Rh 0.000 0.500 0.000
Rh 0.000 0.000 0.500
Rh 0.500 0.000 0.000
Zr 0.500 0.500 0.500
CELL_PARAMETERS angstrom
-3.101 -3.543 0.019
1.636 -1.454 -4.169
3.143 -2.739 2.189
```



DFT (SCAN) results for YZr2Rh at its PBEsol-relaxed geometry. Values from VASP.

Summary:
Magnetic moment: 0.00 μB/f.u.
Crystal system: monoclinic
ΔH_f (0 K): -259 meV/atom
Total energy: -124.049 eV per cell

```
&SYSTEM
  ibrav = 0, nat = 4, ntyp = 3
/
ATOMIC_SPECIES
Rh 102.91 Rh.upf
Y 88.91 Y.upf
Zr 91.22 Zr.upf
ATOMIC_POSITIONS crystal
Rh 0.951 0.000 0.475
Y 0.424 0.500 0.722
Zr 0.034 0.000 0.039
Zr 0.591 0.500 0.264
CELL_PARAMETERS angstrom
-2.409 -0.844 2.016
-2.424 -1.156 -3.380
3.279 -5.239 -0.560
```



DFT (SCAN) results for YZr2Rh at its PBEsol-relaxed geometry. Values from VASP.

Summary:
Magnetic moment: 0.00 μB/f.u.
Crystal system: tetragonal
ΔH_f (0 K): -240 meV/atom
Total energy: -123.974 eV per cell

```
&SYSTEM
  ibrav = 0, nat = 4, ntyp = 3
/
ATOMIC_SPECIES
Rh 102.91 Rh.upf
Y 88.91 Y.upf
Zr 91.22 Zr.upf
ATOMIC_POSITIONS crystal
Rh 0.500 0.500 0.000
Y 0.000 0.000 0.000
Zr 0.750 0.250 0.500
Zr 0.250 0.750 0.500
CELL_PARAMETERS angstrom
-0.007 3.559 1.793
-1.700 -1.625 3.218
5.556 -1.958 -0.521
```